The following is a PBE calculation of a relaxed Na2SbAsSe4 crystal, from Alexandria.

a = 7.030 Å, b = 4.051 Å, c = 7.446 Å
α = 90.00°, β = 108.30°, γ = 90.00°
Space group P2/m (No. 10)
Inequivalent atoms, fractional coordinates:
Na 0.000 0.000 0.000 [1 per cell]
Na 0.500 0.500 0.000 [1 per cell]
Sb 0.000 0.500 0.500 [1 per cell]
As 0.500 0.000 0.500 [1 per cell]
Se 0.257 0.000 0.728 [2 per cell]
Se 0.273 0.500 0.280 [2 per cell]

As for the crystal system: monoclinic. The value obtained for the total magnetic moment is 0.000 μB/cell. The value obtained for the energy is -3.7362 eV/atom.

=====

The following is a PBE calculation of a relaxed Pr2NiHPd6 crystal, from Alexandria.

a = 8.861 Å, b = 8.861 Å, c = 8.861 Å
α = 90.00°, β = 90.00°, γ = 90.00°
Space group Fm-3m (No. 225)
Inequivalent atoms, fractional coordinates:
Pr 0.250 0.250 0.250 [8 per cell]
Ni 0.000 0.000 0.000 [4 per cell]
H 0.000 0.000 0.500 [4 per cell]
Pd 0.000 0.000 0.274 [24 per cell]

As for the crystal system: cubic. The value obtained for the total magnetic moment is 1.025 μB/cell. The value obtained for the energy is -5.4809 eV/atom.

=====

The following is a PBE calculation of a relaxed Mg6Sb crystal, from Alexandria.

a = 7.970 Å, b = 7.970 Å, c = 7.970 Å
α = 90.00°, β = 90.00°, γ = 90.00°
Space group Im-3m (No. 229)
Inequivalent atoms, fractional coordinates:
Mg 0.000 0.250 0.500 [12 per cell]
Sb 0.000 0.000 0.000 [2 per cell]

As for the crystal system: cubic. The value obtained for the total magnetic moment is 0.000 μB/cell. The value obtained for the energy is -1.1194 eV/atom.

=====

The following is a PBE calculation of a relaxed Li7Pd3Pt crystal, from Alexandria.

a = 2.743 Å, b = 21.003 Å, c = 11.803 Å
α = 90.00°, β = 90.00°, γ = 90.00°
Space group Cmcm (No. 63)
Inequivalent atoms, fractional coordinates:
Li 0.000 0.056 0.133 [8 per cell]
Li 0.000 0.093 0.604 [8 per cell]
Li 0.000 0.187 0.250 [4 per cell]
Li 0.000 0.224 0.595 [8 per cell]
Pd 0.000 0.333 0.250 [4 per cell]
Pd 0.000 0.345 0.557 [8 per cell]
Pt 0.000 0.474 0.250 [4 per cell]

The formation energy from the elements is -0.39 eV/atom. As for the crystal system: orthorhombic. The value obtained for the total magnetic moment is 0.000 μB/cell.

=====

The following is a PBE calculation of a relaxed YCd2Si crystal, from Alexandria.

a = 10.441 Å, b = 3.372 Å, c = 5.770 Å
α = 90.00°, β = 114.33°, γ = 90.00°
Space group Cm (No. 8)
Inequivalent atoms, fractional coordinates:
Y 0.000 0.000 0.000 [2 per cell]
Cd 0.206 0.000 0.625 [2 per cell]
Cd 0.433 0.000 0.456 [2 per cell]
Si 0.241 0.500 0.061 [2 per cell]

As for the crystal system: monoclinic. The value obtained for the total magnetic moment is 0.302 μB/cell. The value obtained for the energy is -3.5215 eV/atom.

=====

The following is a PBE calculation of a relaxed Tb2Sm3ThAs6 crystal, from Alexandria.

a = 18.290 Å, b = 4.202 Å, c = 8.398 Å
α = 90.00°, β = 103.31°, γ = 90.00°
Space group C2/m (No. 12)
Inequivalent atoms, fractional coordinates:
Tb 0.168 0.000 0.336 [4 per cell]
Sm 0.000 0.500 0.500 [2 per cell]
Sm 0.167 0.000 0.831 [4 per cell]
Th 0.000 0.500 0.000 [2 per cell]
As 0.001 0.000 0.251 [4 per cell]
As 0.167 0.500 0.086 [4 per cell]
As 0.167 0.500 0.580 [4 per cell]

The formation energy from the elements is -1.53 eV/atom. As for the crystal system: monoclinic. The value obtained for the total magnetic moment is 0.000 μB/cell.

=====

The following is a PBE calculation of a relaxed Ga2Hg2Sb crystal, from Alexandria.

a = 8.333 Å, b = 8.333 Å, c = 3.513 Å
α = 90.00°, β = 90.00°, γ = 90.00°
Space group P4/mbm (No. 127)
Inequivalent atoms, fractional coordinates:
Ga 0.180 0.320 0.000 [4 per cell]
Hg 0.130 0.630 0.500 [4 per cell]
Sb 0.000 0.000 0.000 [2 per cell]

As for the crystal system: tetragonal. The value obtained for the total magnetic moment is 0.000 μB/cell. For the energy relative to the lowest polymorph listed for this composition, the calculation gives 18 meV/atom.

=====

The following is a PBE calculation of a relaxed CaReTc2 crystal, from Alexandria.

a = 3.056 Å, b = 4.920 Å, c = 9.272 Å
α = 90.00°, β = 90.00°, γ = 90.00°
Space group Immm (No. 71)
Inequivalent atoms, fractional coordinates:
Ca 0.000 0.000 0.000 [2 per cell]
Re 0.000 0.000 0.500 [2 per cell]
Tc 0.000 0.500 0.219 [4 per cell]

The formation energy from the elements is 0.51 eV/atom. As for the crystal system: orthorhombic. The value obtained for the total magnetic moment is 0.000 μB/cell. For the energy relative to the lowest polymorph listed for this composition, the calculation gives 126 meV/atom.